No. 1
{"formula": "Tb3Tm12Tl", "functional": "PBE", "state": "relaxed", "ef_kj_per_mol_fu": -30.7, "sg": "No. 123", "final_energy_ev_per_cell": -70.23, "total_magnetization_mub_per_fu": 0.00, "mass_density_g_cm3": 9.43, "cell": [[-3.9211, 2.4081, -1.6835], [-1.9653, -4.2365, -1.4824], [-8.8528, -2.0714, 17.6561]], "species": ["Tm", "Tm", "Tm", "Tm", "Tm", "Tm", "Tm", "Tm", "Tm", "Tm", "Tm", "Tm", "Tl", "Tb", "Tb", "Tb"], "frac_coords": [[0.5000, 0.0000, 0.6264], [0.5000, 0.5000, 0.2441], [0.0000, 0.5000, 0.3736], [0.5000, 0.0000, 0.3736], [0.5000, 0.0000, 0.8780], [0.0000, 0.5000, 0.8780], [0.5000, 0.0000, 0.1220], [0.5000, 0.5000, 0.5000], [0.0000, 0.5000, 0.6264], [0.5000, 0.5000, 0.7559], [0.5000, 0.5000, 0.0000], [0.0000, 0.5000, 0.1220], [0.0000, 0.0000, 0.0000], [0.0000, 0.0000, 0.5000], [0.0000, 0.0000, 0.7512], [0.0000, 0.0000, 0.2488]]}

***

No. 2
{"formula": "TaVSnMo", "functional": "PBE", "state": "relaxed", "ef_kj_per_mol_fu": 9.6, "sg": "No. 216", "final_energy_ev_per_cell": -35.71, "total_magnetization_mub_per_fu": 2.00, "mass_density_g_cm3": 10.80, "cell": [[4.5958, 0.0000, 0.0000], [2.2979, 3.9800, 0.0000], [2.2979, 1.3267, 3.7524]], "species": ["V", "Ta", "Mo", "Sn"], "frac_coords": [[0.7500, 0.7500, 0.7500], [0.0000, 0.0000, 0.0000], [0.2500, 0.2500, 0.2500], [0.5000, 0.5000, 0.5000]]}

***

No. 3
{"formula": "Li4U3S8", "functional": "PBE", "state": "relaxed", "sg": "No. 12", "final_energy_ev_per_cell": -94.14, "total_magnetization_mub_per_fu": 6.01, "raw_formation_energy_kcal_per_mol_atoms": -30.133, "mass_density_g_cm3": 5.31, "cell": [[-5.5050, 1.0960, 5.1733], [6.4813, -3.7645, 1.8161], [4.2698, 5.8810, -2.5806]], "species": ["S", "S", "S", "S", "S", "S", "S", "S", "Li", "Li", "Li", "Li", "U", "U", "U"], "frac_coords": [[0.0227, 0.2526, 0.2526], [0.4941, 0.7470, 0.7470], [0.0000, 0.7556, 0.2444], [0.9773, 0.7474, 0.7474], [0.5059, 0.2530, 0.2530], [0.5000, 0.7541, 0.2459], [0.5000, 0.2459, 0.7541], [0.0000, 0.2444, 0.7556], [0.0000, 0.5000, 0.0000], [0.0000, 0.0000, 0.0000], [0.0000, 0.0000, 0.5000], [0.5000, 0.0000, 0.0000], [0.5000, 0.0000, 0.5000], [0.5000, 0.5000, 0.5000], [0.5000, 0.5000, 0.0000]]}

***

No. 4
{"formula": "CaTlVBi2", "functional": "PBE", "state": "relaxed", "ef_kj_per_mol_fu": 46.7, "sg": "No. 123", "final_energy_ev_per_cell": -20.76, "total_magnetization_mub_per_fu": 0.01, "mass_density_g_cm3": 7.76, "cell": [[5.3449, 0.0000, 0.0000], [0.0000, 5.3448, 0.0000], [0.0000, 0.0000, 5.3449]], "species": ["Tl", "Bi", "Bi", "V", "Ca"], "frac_coords": [[0.0000, 0.5000, 0.0000], [0.5000, 0.0000, 0.0000], [0.0000, 0.0000, 0.5000], [0.0000, 0.0000, 0.0000], [0.5000, 0.5000, 0.5000]]}

***

No. 5
{"formula": "Ta2Mo3", "functional": "PBE", "state": "relaxed", "ef_kj_per_mol_fu": 296.1, "sg": "No. 164", "final_energy_ev_per_cell": -53.13, "total_magnetization_mub_per_fu": 0.00, "mass_density_g_cm3": 11.49, "cell": [[2.5597, 3.5907, 0.5476], [-3.9325, 0.3645, -2.0365], [-2.4114, 0.9820, 4.8322]], "species": ["Mo", "Mo", "Mo", "Ta", "Ta"], "frac_coords": [[0.6667, 0.3333, 0.6543], [0.3333, 0.6667, 0.3457], [0.0000, 0.0000, 0.0000], [0.3333, 0.6667, 0.8359], [0.6667, 0.3333, 0.1641]]}

***

No. 6
{"formula": "Sr2LiY", "functional": "PBE", "state": "relaxed", "ef_kj_per_mol_fu": 105.1, "sg": "No. 119", "final_energy_ev_per_cell": -10.65, "total_magnetization_mub_per_fu": 0.00, "mass_density_g_cm3": 2.80, "cell": [[6.8969, 0.0351, 0.0000], [2.8456, 6.2826, 0.0000], [-4.8712, -3.1588, 3.7231]], "species": ["Sr", "Sr", "Li", "Y"], "frac_coords": [[0.0000, 0.0000, 0.0000], [0.2500, 0.7500, 0.5000], [0.7500, 0.2500, 0.5000], [0.5000, 0.5000, 0.0000]]}